Material: Pr3Ga3Cu2
Method: DFT, GGA-PBE
State: relaxed

Lattice parameters (Å, degrees): 5.732 5.732 15.147 90.00 90.00 133.76
Element x y z (fractional)
Pr1 0.108 0.892 0.606
Pr2 0.108 0.892 0.894
Pr3 0.390 0.610 0.750
Pr4 0.610 0.390 0.250
Pr5 0.892 0.108 0.106
Pr6 0.892 0.108 0.394
Ga1 0.317 0.683 0.250
Ga2 0.389 0.611 0.540
Ga3 0.389 0.611 0.960
Ga4 0.611 0.389 0.040
Ga5 0.611 0.389 0.460
Ga6 0.683 0.317 0.750
Cu1 0.194 0.806 0.099
Cu2 0.194 0.806 0.401
Cu3 0.806 0.194 0.599
Cu4 0.806 0.194 0.901

Calculated values
Space group: No. 63
ΔE_f, eV/atom: -0.476